No. 1
Computed, not measured: an optimized crystal structure of Cr2CdMo at the PBE level of DFT.

Lattice parameters (Å, degrees): 3.166 3.166 6.108 90.00 90.00 90.00
Space group P4mm (No. 99)
Symmetry-distinct sites (fractional):
Cr 0.000 0.000 0.000
Cr 0.500 0.500 0.176
Cd 0.500 0.500 0.702
Mo 0.000 0.000 0.380

Properties
As for the crystal system: tetragonal.

***

No. 2
Computed, not measured: an optimized crystal structure of Cr2CdMo at the PBE level of DFT.

Lattice parameters (Å, degrees): 2.772 3.930 5.675 90.00 98.79 90.00
Space group Pm (No. 6)
Symmetry-distinct sites (fractional):
Cr 0.000 0.000 0.000
Cr 0.389 0.500 0.180
Cd 0.431 0.500 0.702
Mo 0.838 0.000 0.390

Properties
As for the crystal system: monoclinic.

***

no.,magnetization (μB per cell),energy of formation (kJ/mol of formula units),theoretical density (kg/m3)
1,0.0,154,8469
2,0.0,172,8489